# PmSi2IrRh PBE relaxed
data_PmSi2IrRh
_chemical_formula_sum 'Pm2 Si4 Ir2 Rh2'
_cell_length_a 4.1021
_cell_length_b 4.1021
_cell_length_c 10.1443
_cell_angle_alpha 90.00
_cell_angle_beta 90.00
_cell_angle_gamma 90.00
_space_group_name_H-M_alt 'I -4 m 2'
_space_group_IT_number 119
_space_group_name_Hall 'I -4 -2'
loop_
_atom_site_label
_atom_site_type_symbol
_atom_site_fract_x
_atom_site_fract_y
_atom_site_fract_z
Pm1 Pm 0.0000 0.0000 0.0000
Si1 Si 0.0000 0.0000 0.3763
Ir1 Ir 0.0000 0.5000 0.7500
Rh1 Rh 0.0000 0.5000 0.2500
# Raw formation energy (eV per atom): -1.090
# E (eV per formula unit): -37.261
# Size of the total moment (μB/f.u.): 0.00